Compound: Hg4I3O2
Source: the Alexandria database
Functional: PBE-GGA
Structure: optimized geometry

Summary:
* energy above the lowest structure with this stoichiometry: 0 meV/atom
* formation energy (no corrections): -18.7 kJ/mol of atoms
* space-group type: C2/c (15)
* total DFT energy (no corrections): -0.1431 Ry per atom

abc: 9.599 9.599 7.545
angles: 98.18 98.18 57.31
Element x y z (fractional)
Hg: 0.013 0.698 0.543
Hg: 0.302 0.987 0.957
Hg: 0.313 0.321 0.252
Hg: 0.321 0.313 0.752
Hg: 0.679 0.687 0.248
Hg: 0.687 0.679 0.748
Hg: 0.698 0.013 0.043
Hg: 0.987 0.302 0.457
I: 0.016 0.730 0.151
I: 0.270 0.984 0.349
I: 0.309 0.691 0.750
I: 0.691 0.309 0.250
I: 0.730 0.016 0.651
I: 0.984 0.270 0.849
O: 0.195 0.409 0.499
O: 0.409 0.195 0.999
O: 0.591 0.805 0.001
O: 0.805 0.591 0.501